No. 1
This record from the Alexandria database describes a relaxed TeRu2Cl crystal. The functional is PBE.

Output
volume: 316.3 Å³ per cell
ΔE_f (raw): 0.48 eV per atom
ΔE to the lowest computed polymorph: 0.3403 eV per atom

```
data_TeRu2Cl
_chemical_formula_sum 'Te4 Ru8 Cl4'
_cell_length_a 4.6357
_cell_length_b 4.6357
_cell_length_c 14.7164
_cell_angle_alpha 90.00
_cell_angle_beta 90.00
_cell_angle_gamma 90.00
_space_group_name_H-M_alt 'I -4 2 d'
_space_group_IT_number 122
_space_group_name_Hall 'I -4 2bw'
loop_
_atom_site_label
_atom_site_type_symbol
_atom_site_fract_x
_atom_site_fract_y
_atom_site_fract_z
_atom_site_occupancy
Te1 Te 0.0000 0.0000 0.0000 1
Ru1 Ru 0.1713 0.2500 0.6250 1
Cl1 Cl 0.0000 0.0000 0.5000 1
```

=====

No. 2
This record from the Alexandria database describes a relaxed NbPdI6 crystal. The functional is PBE.

Output
volume: 686.4 Å³ per cell
ΔE_f (raw): -0.31 eV per atom

```
data_NbPdI6
_chemical_formula_sum 'Nb2 Pd2 I12'
_cell_length_a 7.8623
_cell_length_b 12.4532
_cell_length_c 7.9750
_cell_angle_alpha 90.00
_cell_angle_beta 118.47
_cell_angle_gamma 90.00
_space_group_name_H-M_alt 'C 1 2/m 1'
_space_group_IT_number 12
_space_group_name_Hall '-C 2y'
loop_
_atom_site_label
_atom_site_type_symbol
_atom_site_fract_x
_atom_site_fract_y
_atom_site_fract_z
_atom_site_occupancy
Nb1 Nb 0.0000 0.0000 0.0000 1
Pd1 Pd 0.0000 0.5000 0.5000 1
I1 I 0.1993 0.0000 0.7991 1
I2 I 0.2273 0.3495 0.7331 1
```

=====

No. 3
This record from the Alexandria database describes a relaxed Ce2CO crystal. The functional is PBE.

Output
volume: 134.4 Å³ per cell
ΔE_f (raw): -1.44 eV per atom
ΔE to the lowest computed polymorph: 0.1452 eV per atom

```
data_Ce2CO
_chemical_formula_sum 'Ce4 C2 O2'
_cell_length_a 3.5723
_cell_length_b 3.5723
_cell_length_c 12.1567
_cell_angle_alpha 90.00
_cell_angle_beta 90.00
_cell_angle_gamma 120.00
_space_group_name_H-M_alt 'P 63/m m c'
_space_group_IT_number 194
_space_group_name_Hall '-P 6c 2c'
loop_
_atom_site_label
_atom_site_type_symbol
_atom_site_fract_x
_atom_site_fract_y
_atom_site_fract_z
_atom_site_occupancy
Ce1 Ce 0.3333 0.6667 0.1191 1
C1 C 0.0000 0.0000 0.0000 1
O1 O 0.3333 0.6667 0.7500 1
```

=====

No. 4
This record from the Alexandria database describes a relaxed Ho4Te5Ir crystal. The functional is PBE.

Output
volume: 641.2 Å³ per cell
ΔE_f (raw): -1.02 eV per atom

```
data_Ho4Te5Ir
_chemical_formula_sum 'Ho8 Te10 Ir2'
_cell_length_a 18.5113
_cell_length_b 4.1972
_cell_length_c 8.4629
_cell_angle_alpha 90.00
_cell_angle_beta 102.82
_cell_angle_gamma 90.00
_space_group_name_H-M_alt 'C 1 2/m 1'
_space_group_IT_number 12
_space_group_name_Hall '-C 2y'
loop_
_atom_site_label
_atom_site_type_symbol
_atom_site_fract_x
_atom_site_fract_y
_atom_site_fract_z
_atom_site_occupancy
Ho1 Ho 0.0001 0.0000 0.2330 1
Ho2 Ho 0.1584 0.5000 0.0837 1
Te1 Te 0.0000 0.5000 0.5000 1
Te2 Te 0.1668 0.0000 0.3432 1
Te3 Te 0.1696 0.0000 0.8243 1
Ir1 Ir 0.0000 0.5000 0.0000 1
```

=====

No. 5
This record from the Alexandria database describes a relaxed CdBr2N2 crystal. The functional is PBE.

Output
volume: 310.3 Å³ per cell
ΔE_f (raw): -0.52 eV per atom

```
data_CdBr2N2
_chemical_formula_sum 'Cd2 Br4 N4'
_cell_length_a 7.0343
_cell_length_b 4.0496
_cell_length_c 10.9222
_cell_angle_alpha 90.00
_cell_angle_beta 94.30
_cell_angle_gamma 90.00
_space_group_name_H-M_alt 'C 1 2/m 1'
_space_group_IT_number 12
_space_group_name_Hall '-C 2y'
loop_
_atom_site_label
_atom_site_type_symbol
_atom_site_fract_x
_atom_site_fract_y
_atom_site_fract_z
_atom_site_occupancy
Cd1 Cd 0.0000 0.0000 0.0000 1
Br1 Br 0.1500 0.5000 0.8550 1
N1 N 0.0499 0.0000 0.4627 1
```

=====

No. 6
This record from the Alexandria database describes a relaxed TcAuS2 crystal. The functional is PBE.

Output
volume: 245.0 Å³ per cell
ΔE_f (raw): 0.49 eV per atom
ΔE to the lowest computed polymorph: 0.7077 eV per atom

```
data_TcAuS2
_chemical_formula_sum 'Tc4 Au4 S8'
_cell_length_a 6.2571
_cell_length_b 6.2571
_cell_length_c 6.2571
_cell_angle_alpha 90.00
_cell_angle_beta 90.00
_cell_angle_gamma 90.00
_space_group_name_H-M_alt 'F m -3 m'
_space_group_IT_number 225
_space_group_name_Hall '-F 4 2 3'
loop_
_atom_site_label
_atom_site_type_symbol
_atom_site_fract_x
_atom_site_fract_y
_atom_site_fract_z
_atom_site_occupancy
Tc1 Tc 0.0000 0.0000 0.0000 1
Au1 Au 0.0000 0.0000 0.5000 1
S1 S 0.2500 0.2500 0.2500 1
```

=====

No. 7
This record from the Alexandria database describes a relaxed Pu3Ni2As4 crystal. The functional is PBE.

Output
volume: 353.1 Å³ per cell
ΔE to the lowest computed polymorph: 0.0713 eV per atom

```
data_Pu3Ni2As4
_chemical_formula_sum 'Pu6 Ni4 As8'
_cell_length_a 10.6203
_cell_length_b 3.8802
_cell_length_c 8.5833
_cell_angle_alpha 90.00
_cell_angle_beta 93.47
_cell_angle_gamma 90.00
_space_group_name_H-M_alt 'C 1 2/m 1'
_space_group_IT_number 12
_space_group_name_Hall '-C 2y'
loop_
_atom_site_label
_atom_site_type_symbol
_atom_site_fract_x
_atom_site_fract_y
_atom_site_fract_z
_atom_site_occupancy
Pu1 Pu 0.0000 0.0000 0.0000 1
Pu2 Pu 0.1245 0.5000 0.4164 1
Ni1 Ni 0.2019 0.5000 0.8126 1
As1 As 0.0954 0.0000 0.6798 1
As2 As 0.1785 0.5000 0.0970 1
```

=====

No. 8
This record from the Alexandria database describes a relaxed VGaIr2Pd crystal. The functional is PBE.

Output
volume: 104.4 Å³ per cell
E_tot: -0.4031 Ry per atom

```
data_VGaIr2Pd
_chemical_formula_sum 'V1 Ga1 Ir2 Pd1'
_cell_length_a 4.8493
_cell_length_b 4.8493
_cell_length_c 4.4409
_cell_angle_alpha 90.00
_cell_angle_beta 90.00
_cell_angle_gamma 90.00
_space_group_name_H-M_alt 'P 4/m m m'
_space_group_IT_number 123
_space_group_name_Hall '-P 4 2'
loop_
_atom_site_label
_atom_site_type_symbol
_atom_site_fract_x
_atom_site_fract_y
_atom_site_fract_z
_atom_site_occupancy
V1 V 0.0000 0.0000 0.0000 1
Ga1 Ga 0.5000 0.5000 0.0000 1
Ir1 Ir 0.0000 0.5000 0.5000 1
Pd1 Pd 0.0000 0.0000 0.5000 1
```

=====

No. 9
This record from the Alexandria database describes a relaxed Rb3CuAu2I9 crystal. The functional is PBE.

Output
volume: 570.4 Å³ per cell
ΔE_f (raw): -0.61 eV per atom

```
data_Rb3CuAu2I9
_chemical_formula_sum 'Rb3 Cu1 Au2 I9'
_cell_length_a 8.1301
_cell_length_b 8.1301
_cell_length_c 9.9638
_cell_angle_alpha 90.00
_cell_angle_beta 90.00
_cell_angle_gamma 120.00
_space_group_name_H-M_alt 'P -3 m 1'
_space_group_IT_number 164
_space_group_name_Hall '-P 3 2"'
loop_
_atom_site_label
_atom_site_type_symbol
_atom_site_fract_x
_atom_site_fract_y
_atom_site_fract_z
_atom_site_occupancy
Rb1 Rb 0.0000 0.0000 0.0000 1
Rb2 Rb 0.3333 0.6667 0.6619 1
Cu1 Cu 0.0000 0.0000 0.5000 1
Au1 Au 0.3333 0.6667 0.1709 1
I1 I 0.0000 0.5000 0.0000 1
I2 I 0.1632 0.3264 0.3366 1
```

=====

No. 10
This record from the Alexandria database describes a relaxed Mn2NbRuCl crystal. The functional is PBE.

Output
volume: 114.9 Å³ per cell
ΔE_f (raw): 0.89 eV per atom

```
data_Mn2NbRuCl
_chemical_formula_sum 'Mn2 Nb1 Ru1 Cl1'
_cell_length_a 4.9247
_cell_length_b 4.9247
_cell_length_c 4.7389
_cell_angle_alpha 90.00
_cell_angle_beta 90.00
_cell_angle_gamma 90.00
_space_group_name_H-M_alt 'P 4/m m m'
_space_group_IT_number 123
_space_group_name_Hall '-P 4 2'
loop_
_atom_site_label
_atom_site_type_symbol
_atom_site_fract_x
_atom_site_fract_y
_atom_site_fract_z
_atom_site_occupancy
Mn1 Mn 0.0000 0.5000 0.0000 1
Nb1 Nb 0.0000 0.0000 0.5000 1
Ru1 Ru 0.0000 0.0000 0.0000 1
Cl1 Cl 0.5000 0.5000 0.5000 1
```

=====

No. 11
This record from the Alexandria database describes a relaxed Ti2TeS crystal. The functional is PBE.

Output
volume: 222.2 Å³ per cell
ΔE_f (raw): -0.95 eV per atom
ΔE to the lowest computed polymorph: 0.0000 eV per atom

```
data_Ti2TeS
_chemical_formula_sum 'Ti6 Te3 S3'
_cell_length_a 3.6784
_cell_length_b 3.6784
_cell_length_c 18.9621
_cell_angle_alpha 90.00
_cell_angle_beta 90.00
_cell_angle_gamma 120.00
_space_group_name_H-M_alt 'R -3 m'
_space_group_IT_number 166
_space_group_name_Hall '-R 3 2"'
loop_
_atom_site_label
_atom_site_type_symbol
_atom_site_fract_x
_atom_site_fract_y
_atom_site_fract_z
_atom_site_occupancy
Ti1 Ti 0.0000 0.0000 0.2255 1
Te1 Te 0.0000 0.0000 0.0000 1
S1 S 0.0000 0.0000 0.5000 1
```

=====

No. 12
This record from the Alexandria database describes a relaxed Rb4ZrSc3Se8 crystal. The functional is PBE.

Output
volume: 891.4 Å³ per cell
ΔE_f (raw): -1.51 eV per atom

```
data_Rb4ZrSc3Se8
_chemical_formula_sum 'Rb8 Zr2 Sc6 Se16'
_cell_length_a 13.9335
_cell_length_b 8.0389
_cell_length_c 9.2179
_cell_angle_alpha 90.00
_cell_angle_beta 120.30
_cell_angle_gamma 90.00
_space_group_name_H-M_alt 'C 1 2/m 1'
_space_group_IT_number 12
_space_group_name_Hall '-C 2y'
loop_
_atom_site_label
_atom_site_type_symbol
_atom_site_fract_x
_atom_site_fract_y
_atom_site_fract_z
_atom_site_occupancy
Rb1 Rb 0.0000 0.0000 0.0000 1
Rb2 Rb 0.0000 0.5000 0.0000 1
Rb3 Rb 0.2500 0.2500 0.0000 1
Zr1 Zr 0.0000 0.0000 0.5000 1
Sc1 Sc 0.0000 0.5000 0.5000 1
Sc2 Sc 0.2500 0.2500 0.5000 1
Se1 Se 0.0199 0.2494 0.3106 1
Se2 Se 0.2291 0.5000 0.6869 1
Se3 Se 0.2295 0.0000 0.6895 1
```